Compound: CsK2SnS4
Source: Alexandria
Functional: PBE
Structure: optimized geometry

## Properties
D(E_F)	11.85	states/eV/cell
SG	I222
ΔE_f (raw)	-0.803	eV per atom
V	36.85	Å³ per atom
VASP energy	-30.0	eV per formula unit

Unit cell a=7.2849 b=7.2849 c=7.2849 alpha=112.83 beta=112.76 gamma=103.01
Element x y z (fractional)
Cs1 0.0000 0.0000 0.0000
K1 0.2506 0.7506 0.5000
K2 0.7494 0.2494 0.5000
Sn1 0.5000 0.5000 0.0000
S1 0.1783 0.1788 0.6430
S2 0.4642 0.8212 0.9995
S3 0.5358 0.5354 0.3570
S4 0.8217 0.4646 0.0005